Entry 1:
A geometry-optimized Ac2CrTc2N6 structure, computed with PBE.

Lattice parameters (Å, degrees): 6.3553 6.3553 6.3553 55.57 55.57 55.57
With the nearest neighbours (Å) after each atom.
Fractional positions:
1 Ac 0.2188 0.2188 0.2188  9 N 2.81-3.03
2 Ac 0.7812 0.7812 0.7812  9 N 2.81-3.03
3 Cr 0.0000 0.0000 0.0000  6 N 2.00
4 Tc 0.4285 0.4285 0.4285  3 N 1.86
5 Tc 0.5715 0.5715 0.5715  3 N 1.86
6 N 0.2301 0.2301 0.7647  1 Tc 1.86, 1 Cr 2.00
7 N 0.2301 0.7647 0.2301  1 Tc 1.86, 1 Cr 2.00
8 N 0.2353 0.7699 0.7699  1 Tc 1.86, 1 Cr 2.00
9 N 0.7647 0.2301 0.2301  1 Tc 1.86, 1 Cr 2.00
10 N 0.7699 0.2353 0.7699  1 Tc 1.86, 1 Cr 2.00
11 N 0.7699 0.7699 0.2353  1 Tc 1.86, 1 Cr 2.00

Properties
- space-group type = R-3m, No. 166
- E (eV per cell) = -93.4
- DOS at the Fermi energy (states/eV/atom) = 0.48
- formation energy from raw total energies (eV per atom) = -0.4468

=====

Entry 2:
A geometry-optimized Ac2ThCr2N6 structure, computed with PBE.

Lattice parameters (Å, degrees): 7.0595 7.0595 7.0595 48.66 48.66 48.66
With the nearest neighbours (Å) after each atom.
Fractional positions:
1 Ac 0.2118 0.2118 0.2118  9 N 2.78-2.96
2 Ac 0.7882 0.7882 0.7882  9 N 2.78-2.96
3 Th 0.0000 0.0000 0.0000  6 N 2.42
4 Cr 0.4065 0.4065 0.4065  3 N 1.71
5 Cr 0.5935 0.5935 0.5935  3 N 1.71
6 N 0.2418 0.7393 0.7393  1 Cr 1.71
7 N 0.2607 0.2607 0.7582  1 Cr 1.71
8 N 0.2607 0.7582 0.2607  1 Cr 1.71
9 N 0.7393 0.2418 0.7393  1 Cr 1.71
10 N 0.7393 0.7393 0.2418  1 Cr 1.71
11 N 0.7582 0.2607 0.2607  1 Cr 1.71

Properties
- space-group type = R-3m, No. 166
- E (eV per cell) = -95.4
- DOS at the Fermi energy (states/eV/atom) = 0.09
- formation energy from raw total energies (eV per atom) = -0.9606

=====

Entry 3:
A geometry-optimized AcThCrN4 structure, computed with PBE.

Lattice parameters (Å, degrees): 5.9142 5.5943 7.1777 90.00 107.82 90.00
With the nearest neighbours (Å) after each atom.
Fractional positions:
1 Ac 0.2133 0.2500 0.4245  6 N 2.66-2.93
2 Ac 0.7867 0.7500 0.5755  6 N 2.66-2.93
3 Th 0.2782 0.2500 0.9468  6 N 2.42-2.63
4 Th 0.7218 0.7500 0.0532  6 N 2.42-2.63
5 Cr 0.2620 0.7500 0.1855  4 N 1.76-1.80
6 Cr 0.7380 0.2500 0.8145  4 N 1.76-1.80
7 N 0.0734 0.7500 0.3408  1 Cr 1.80
8 N 0.0828 0.7500 0.9396  1 Cr 1.76
9 N 0.4612 0.5062 0.2245  1 Cr 1.77
10 N 0.4612 0.9938 0.2245  1 Cr 1.77
11 N 0.5388 0.0062 0.7755  1 Cr 1.77
12 N 0.5388 0.4938 0.7755  1 Cr 1.77
13 N 0.9172 0.2500 0.0604  1 Cr 1.76
14 N 0.9266 0.2500 0.6592  1 Cr 1.80

Properties
- space-group type = P2_1/m, No. 11
- E (eV per cell) = -124.4
- DOS at the Fermi energy (states/eV/atom) = 0.50
- formation energy from raw total energies (eV per atom) = -1.1051

=====

Entry 4:
A geometry-optimized AcTmCrN4 structure, computed with PBE.

Lattice parameters (Å, degrees): 5.5865 5.6323 7.0625 90.00 108.16 90.00
With the nearest neighbours (Å) after each atom.
Fractional positions:
1 Ac 0.2188 0.2500 0.4296  6 N 2.59-2.87
2 Ac 0.7812 0.7500 0.5704  6 N 2.59-2.87
3 Tm 0.2974 0.2500 0.9619  6 N 2.32-2.55
4 Tm 0.7026 0.7500 0.0381  6 N 2.32-2.55
5 Cr 0.2566 0.7500 0.1779  4 N 1.69-1.76
6 Cr 0.7434 0.2500 0.8221  4 N 1.69-1.76
7 N 0.0622 0.7500 0.3316  1 Cr 1.76
8 N 0.0718 0.7500 0.9370  1 Cr 1.69
9 N 0.4647 0.5074 0.2265  1 Cr 1.76
10 N 0.4647 0.9926 0.2265  1 Cr 1.76
11 N 0.5353 0.0074 0.7735  1 Cr 1.76
12 N 0.5353 0.4926 0.7735  1 Cr 1.76
13 N 0.9282 0.2500 0.0630  1 Cr 1.69
14 N 0.9378 0.2500 0.6684  1 Cr 1.76

Properties
- space-group type = P2_1/m, No. 11
- E (eV per cell) = -118.8
- formation energy from raw total energies (eV per atom) = -1.1283

=====

Entry 5:
A geometry-optimized Ac3TmCr2N6 structure, computed with PBE.

Lattice parameters (Å, degrees): 5.9317 5.9317 6.9390 90.00 90.00 120.00
With the nearest neighbours (Å) after each atom.
Fractional positions:
1 Ac 0.0000 0.0000 0.0000  6 N 2.70
2 Ac 0.3333 0.6667 0.6812  9 N 2.97-3.15, 1 Cr 3.23
3 Ac 0.6667 0.3333 0.3188  9 N 2.97-3.15, 1 Cr 3.23
4 Tm 0.0000 0.0000 0.5000  6 N 2.28
5 Cr 0.3333 0.6667 0.2153  3 N 1.74
6 Cr 0.6667 0.3333 0.7847  3 N 1.74
7 N 0.1726 0.3453 0.2940  1 Cr 1.74
8 N 0.1726 0.8274 0.2940  1 Cr 1.74
9 N 0.3453 0.1726 0.7060  1 Cr 1.74
10 N 0.6547 0.8274 0.2940  1 Cr 1.74
11 N 0.8274 0.1726 0.7060  1 Cr 1.74
12 N 0.8274 0.6547 0.7060  1 Cr 1.74

Properties
- space-group type = P-3m1, No. 164
- E (eV per cell) = -98.1
- DOS at the Fermi energy (states/eV/atom) = 0.51
- formation energy from raw total energies (eV per atom) = -1.0125

=====

Entry 6:
A geometry-optimized Ac2UCr2N6 structure, computed with PBE.

Lattice parameters (Å, degrees): 6.8385 6.8385 6.8385 49.84 49.84 49.84
With the nearest neighbours (Å) after each atom.
Fractional positions:
1 Ac 0.2137 0.2137 0.2137  9 N 2.78-2.94
2 Ac 0.7863 0.7863 0.7863  9 N 2.78-2.94
3 U 0.0000 0.0000 0.0000  6 N 2.27
4 Cr 0.4009 0.4009 0.4009  3 N 1.73
5 Cr 0.5991 0.5991 0.5991  3 N 1.73
6 N 0.2393 0.7484 0.7484  1 Cr 1.73
7 N 0.2516 0.2516 0.7607  1 Cr 1.73
8 N 0.2516 0.7607 0.2516  1 Cr 1.73
9 N 0.7484 0.2393 0.7484  1 Cr 1.73
10 N 0.7484 0.7484 0.2393  1 Cr 1.73
11 N 0.7607 0.2516 0.2516  1 Cr 1.73

Properties
- space-group type = R-3m, No. 166
- E (eV per cell) = -98.5
- DOS at the Fermi energy (states/eV/atom) = 0.75
- formation energy from raw total energies (eV per atom) = -0.8906